DFT (PBEsol) results for a relaxed ZrGa3Ag crystal.

a b c (Å): 4.736 4.736 4.736
angles (deg): 90.00 90.00 90.00
Atoms (fractional coordinates):
Ga: 0.500 0.000 0.000
Ga: 0.000 0.000 0.500
Ga: 0.000 0.500 0.000
Ag: 0.000 0.000 0.000
Zr: 0.500 0.500 0.500

**M_tot**: 0.00 μB per formula unit
**DOS(E_F)**: 2.862 states/eV/f.u.
**Space group**: Pm-3m (221)
**Formation energy**: 2.59 eV per formula unit

DFT (PBEsol) results for a relaxed Sr2Pt crystal.

a b c (Å): 4.409 6.956 7.044
angles (deg): 90.00 90.00 90.00
Atoms (fractional coordinates):
Sr: 0.500 0.233 0.168
Sr: 0.000 0.267 0.668
Sr: 0.000 0.733 0.332
Sr: 0.500 0.767 0.832
Pt: 0.500 0.500 0.500
Pt: 0.000 0.000 0.000

**M_tot**: 0.00 μB per formula unit
**DOS(E_F)**: 0.709 states/eV/f.u.
**Space group**: Pnnm (58)
**Formation energy**: -1.73 eV per formula unit

DFT (PBEsol) results for a relaxed InBiSbI2 crystal.

a b c (Å): 5.851 6.106 6.106
angles (deg): 90.00 90.00 90.00
Last column: magnetic moment on the atom in μB.
Atoms (fractional coordinates):
Sb: 0.500 0.000 0.000  0.23
I: 0.000 0.000 0.500  0.03
I: 0.000 0.500 0.000  0.03
Bi: 0.000 0.000 0.000  -0.02
In: 0.500 0.500 0.500  0.01

**M_tot**: 0.69 μB per formula unit
**DOS(E_F)**: 4.472 states/eV/f.u.
**ΔE_f (raw)**: 1.24 eV per formula unit
**Space group**: P4/mmm (123)

Which value of DOS(E_F) does entry 3 give? 4.472 states/eV/f.u.

Repeat the first record exactly.
DFT (PBEsol) results for a relaxed ZrGa3Ag crystal.

a b c (Å): 4.736 4.736 4.736
angles (deg): 90.00 90.00 90.00
Atoms (fractional coordinates):
Ga: 0.500 0.000 0.000
Ga: 0.000 0.000 0.500
Ga: 0.000 0.500 0.000
Ag: 0.000 0.000 0.000
Zr: 0.500 0.500 0.500

**M_tot**: 0.00 μB per formula unit
**DOS(E_F)**: 2.862 states/eV/f.u.
**Space group**: Pm-3m (221)
**Formation energy**: 2.59 eV per formula unit